Record 1
Here is a relaxed structure of NdDyEr6Tm2 from the Alexandria database. Energies are from PBE-GGA.

The structure in POSCAR format:
```
NdDyEr6Tm2
1.0
4.532 -7.440 0.000
4.532 7.440 0.000
-1.006 0.000 9.338
Nd Dy Er Tm
2 2 12 4
direct
0.029 0.971 0.750 Nd
0.971 0.029 0.250 Nd
0.410 0.590 0.250 Dy
0.590 0.410 0.750 Dy
0.017 0.563 0.681 Er
0.122 0.754 0.057 Er
0.246 0.878 0.443 Er
0.292 0.513 0.884 Er
0.437 0.983 0.819 Er
0.487 0.708 0.616 Er
0.513 0.292 0.384 Er
0.563 0.017 0.181 Er
0.708 0.487 0.116 Er
0.754 0.122 0.557 Er
0.878 0.246 0.943 Er
0.983 0.437 0.319 Er
0.199 0.305 0.548 Tm
0.305 0.199 0.048 Tm
0.695 0.801 0.952 Tm
0.801 0.695 0.452 Tm
```

Computed properties:
- space-group type = C2/c
- spin magnetization (μB/f.u.) = 0.000
- D(E_F) (states/eV/f.u.) = 14.969
- ΔH_f (0 K) (eV/atom) = 0.1233
- uncorrected energy (eV per atom) = -4.446



Record 2
Here is a relaxed structure of NdDy3Er6Tm2 from the Alexandria database. Energies are from PBE-GGA.

The structure in POSCAR format:
```
NdDy3Er6Tm2
1.0
3.053 -5.282 0.000
3.053 5.282 0.000
-2.025 0.000 11.506
Nd Dy Er Tm
1 3 6 2
direct
0.000 0.000 0.000 Nd
0.167 0.833 0.500 Dy
0.500 0.500 0.500 Dy
0.833 0.167 0.500 Dy
0.085 0.419 0.251 Er
0.250 0.250 0.750 Er
0.419 0.085 0.251 Er
0.581 0.915 0.749 Er
0.750 0.750 0.250 Er
0.915 0.581 0.749 Er
0.333 0.667 0.000 Tm
0.667 0.333 0.000 Tm
```

Computed properties:
- space-group type = C2/m
- spin magnetization (μB/f.u.) = 0.001
- D(E_F) (states/eV/f.u.) = 15.780
- ΔH_f (0 K) (eV/atom) = 0.0208
- uncorrected energy (eV per atom) = -4.554